Arrangement one

DFT (PBE) results for crystalline TlP2Pd2 at its relaxed geometry.

Cell and atoms, written as POSCAR:
```
TlP2Pd2
1.0
-2.190 2.190 5.167
2.190 -2.190 5.167
2.190 2.190 -5.167
Tl P Pd
1 2 2
Direct
0.000 0.000 0.000
0.250 0.750 0.500
0.750 0.250 0.500
0.351 0.351 0.000
0.649 0.649 0.000
```

Results
SG: I4/mmm, No. 139

Arrangement two

DFT (PBE) results for crystalline TlP2Pd2 at its relaxed geometry.

Cell and atoms, written as POSCAR:
```
TlP2Pd2
1.0
-2.213 2.213 4.582
2.213 -2.213 4.582
2.213 2.213 -4.582
Tl P Pd
1 2 2
Direct
0.000 0.000 0.000
0.380 0.380 0.000
0.620 0.620 0.000
0.250 0.750 0.500
0.750 0.250 0.500
```

Results
SG: I4/mmm, No. 139

Which of them is most stable, and which least? Most stable: arrangement two; least stable: arrangement one.